The following is a PBE calculation of a geometry-optimized BaCd2P2 structure, from Alexandria.

Cell lengths 6.7812, 6.7812, 6.7812 Å; angles 41.83, 41.83, 41.83 degrees
Positions (direct):
Ba (0.0000, 0.0000, 0.0000)
Cd (0.2053, 0.2053, 0.2053)
Cd (0.7947, 0.7947, 0.7947)
P (0.4390, 0.4390, 0.4390)
P (0.5610, 0.5610, 0.5610)

Computed properties:
Energy (eV per atom): -3.242
DFT formation energy (eV/f.u.): -1.64